Entry 1:
# TaTcNi2 (meta-GGA SCAN, single point on PBEsol structure)
# offset from the most stable computed form	0.063	eV/atom
# crystal system	tetragonal
# calculated formation energy	-0.32	eV/f.u.
data_TaTcNi2
_symmetry_space_group_name_H-M 'I -4 m 2'
_symmetry_Int_Tables_number 119
_symmetry_space_group_name_Hall 'I -4 -2'
_cell_length_a 3.729
_cell_length_b 3.729
_cell_length_c 7.512
_cell_angle_alpha 90.00
_cell_angle_beta 90.00
_cell_angle_gamma 90.00
loop_
_atom_site_label
_atom_site_type_symbol
_atom_site_fract_x
_atom_site_fract_y
_atom_site_fract_z
Ta1 Ta 0.000 0.000 0.000
Tc1 Tc 0.000 0.500 0.250
Ni1 Ni 0.000 0.000 0.500
Ni2 Ni 0.000 0.500 0.750

Entry 2:
# K2CaAl (meta-GGA SCAN, single point on PBEsol structure)
# crystal system	cubic
# calculated formation energy	0.96	eV/f.u.
data_K2CaAl
_symmetry_space_group_name_H-M 'F -4 3 m'
_symmetry_Int_Tables_number 216
_symmetry_space_group_name_Hall 'F -4 2 3'
_cell_length_a 8.352
_cell_length_b 8.352
_cell_length_c 8.352
_cell_angle_alpha 90.00
_cell_angle_beta 90.00
_cell_angle_gamma 90.00
loop_
_atom_site_label
_atom_site_type_symbol
_atom_site_fract_x
_atom_site_fract_y
_atom_site_fract_z
K1 K 0.000 0.000 0.000
K2 K 0.250 0.250 0.250
Ca1 Ca 0.000 0.000 0.500
Al1 Al 0.250 0.250 0.750

Entry 3:
# ErMo6S8 (meta-GGA SCAN, single point on PBEsol structure)
# ΔE_f (raw)	-1.004	eV/atom
# crystal system	trigonal
data_ErMo6S8
_symmetry_space_group_name_H-M 'R -3'
_symmetry_Int_Tables_number 148
_symmetry_space_group_name_Hall '-R 3'
_cell_length_a 8.9370
_cell_length_b 8.9370
_cell_length_c 11.2229
_cell_angle_alpha 90.00
_cell_angle_beta 90.00
_cell_angle_gamma 120.00
loop_
_atom_site_label
_atom_site_type_symbol
_atom_site_fract_x
_atom_site_fract_y
_atom_site_fract_z
Er1 Er 0.0000 0.0000 0.0000
Mo1 Mo 0.0198 0.8397 0.4005
S1 S 0.0000 0.0000 0.2372
S2 S 0.0061 0.3826 0.7510

Entry 4:
# TiTlCdTe2 (meta-GGA SCAN, single point on PBEsol structure)
# ΔE_f (raw)	-0.153	eV/atom
# crystal system	tetragonal
data_TiTlCdTe2
_symmetry_space_group_name_H-M 'P 4/m m m'
_symmetry_Int_Tables_number 123
_symmetry_space_group_name_Hall '-P 4 2'
_cell_length_a 5.300
_cell_length_b 5.300
_cell_length_c 5.320
_cell_angle_alpha 90.00
_cell_angle_beta 90.00
_cell_angle_gamma 90.00
loop_
_atom_site_label
_atom_site_type_symbol
_atom_site_fract_x
_atom_site_fract_y
_atom_site_fract_z
Ti1 Ti 0.000 0.000 0.000
Tl1 Tl 0.500 0.500 0.500
Cd1 Cd 0.000 0.000 0.500
Te1 Te 0.000 0.500 0.000

Entry 5:
# Hf2Ge2Pd (meta-GGA SCAN, single point on PBEsol structure)
# crystal system	tetragonal
# calculated formation energy	-3.81	eV/f.u.
data_Hf2Ge2Pd
_symmetry_space_group_name_H-M 'P 4/m b m'
_symmetry_Int_Tables_number 127
_symmetry_space_group_name_Hall '-P 4 2ab'
_cell_length_a 6.537
_cell_length_b 6.537
_cell_length_c 3.978
_cell_angle_alpha 90.00
_cell_angle_beta 90.00
_cell_angle_gamma 90.00
loop_
_atom_site_label
_atom_site_type_symbol
_atom_site_fract_x
_atom_site_fract_y
_atom_site_fract_z
Hf1 Hf 0.173 0.327 0.000
Ge1 Ge 0.133 0.633 0.500
Pd1 Pd 0.000 0.000 0.500

Entry 6:
# KTlIn4 (meta-GGA SCAN, single point on PBEsol structure)
# crystal system	cubic
# calculated formation energy	-0.53	eV/f.u.
data_KTlIn4
_symmetry_space_group_name_H-M 'F -4 3 m'
_symmetry_Int_Tables_number 216
_symmetry_space_group_name_Hall 'F -4 2 3'
_cell_length_a 8.787
_cell_length_b 8.787
_cell_length_c 8.787
_cell_angle_alpha 90.00
_cell_angle_beta 90.00
_cell_angle_gamma 90.00
loop_
_atom_site_label
_atom_site_type_symbol
_atom_site_fract_x
_atom_site_fract_y
_atom_site_fract_z
K1 K 0.000 0.000 0.000
Tl1 Tl 0.250 0.250 0.250
In1 In 0.125 0.125 0.625